P | VASP calculation (GGA-PBE) on a relaxed structure of Ac2BiS.

Cell: 3.901 3.901 8.117 Å, 90.00 90.00 90.00°
Space group P4/mmm (No. 123)
One atom of each set of equivalent atoms:
Ac1 0.000 0.000 0.233 x2
Bi1 0.500 0.500 0.500 x1
S1 0.500 0.500 0.000 x1

Crystal system: tetragonal
Total magnetic moment: 0.4 μB/f.u.
Density: 9.342 g/cm3



Q | VASP calculation (GGA-PBE) on a relaxed structure of Ac2BiS.

Cell: 4.6083 4.6083 22.4516 Å, 90.00 90.00 120.00°
Space group R-3m (No. 166, hexagonal axes)
One atom of each set of equivalent atoms:
Ac1 0.0000 0.0000 0.2414 x6
Bi1 0.0000 0.0000 0.0000 x3
S1 0.0000 0.0000 0.5000 x3

Crystal system: trigonal
Total magnetic moment: 0.0 μB/f.u.
Density: 8.386 g/cm3



It comes down to Q, which is 297 meV per atom more stable than the next structure.



P | VASP calculation (GGA-PBE) on a relaxed structure of Ac2BiS.

Cell: 4.4684 4.4684 24.4333 Å, 90.00 90.00 120.00°
Space group R3m (No. 160, hexagonal axes)
One atom of each set of equivalent atoms:
Ac1 0.0000 0.0000 0.0000 x3
Ac2 0.0000 0.0000 0.1605 x3
Bi1 0.0000 0.0000 0.5796 x3
S1 0.0000 0.0000 0.7496 x3

Crystal system: trigonal
Total magnetic moment: 0.5 μB/f.u.
Density: 8.195 g/cm3



Q | VASP calculation (GGA-PBE) on a relaxed structure of Ac2BiS.

Cell: 6.577 6.577 12.917 Å, 90.00 90.00 90.00°
Space group I4_1/amd (No. 141, origin choice 2)
One atom of each set of equivalent atoms:
Ac1 0.000 0.250 0.113 x8
Bi1 0.000 0.250 0.375 x4
S1 0.000 0.250 0.875 x4

Crystal system: tetragonal
Total magnetic moment: 0.0 μB/f.u.
Density: 8.262 g/cm3



R | VASP calculation (GGA-PBE) on a relaxed structure of Ac2BiS.

Cell: 7.957 7.957 7.957 Å, 90.00 90.00 90.00°
Space group Fm-3m (No. 225)
One atom of each set of equivalent atoms:
Ac1 0.250 0.250 0.250 x8
Bi1 0.000 0.000 0.000 x4
S1 0.000 0.000 0.500 x4

Crystal system: cubic
Total magnetic moment: 0.0 μB/f.u.
Density: 9.163 g/cm3



It comes down to Q, which is 131 meV per atom more stable than the next structure.



P | VASP calculation (GGA-PBE) on a relaxed structure of AcBiS.

Cell: 5.0654 5.0654 27.9700 Å, 90.00 90.00 120.00°
Space group R-3m (No. 166, hexagonal axes)
One atom of each set of equivalent atoms:
Ac1 0.0000 0.0000 0.1014 x6
Bi1 0.0000 0.0000 0.3491 x6
S1 0.0000 0.0000 0.2062 x6

Crystal system: trigonal
Total magnetic moment: 0.0 μB/f.u.
Density: 7.503 g/cm3



Q | VASP calculation (GGA-PBE) on a relaxed structure of AcBiS.

Cell: 8.751 10.247 9.461 Å, 90.00 90.00 90.00°
Space group Cmce (No. 64)
One atom of each set of equivalent atoms:
Ac1 0.000 0.141 0.181 x8
Bi1 0.168 0.000 0.500 x8
S1 0.000 0.139 0.875 x8

Crystal system: orthorhombic
Total magnetic moment: 0.0 μB/f.u.
Density: 7.329 g/cm3



R | VASP calculation (GGA-PBE) on a relaxed structure of AcBiS.

Cell: 6.230 6.079 10.401 Å, 90.00 103.39 90.00°
Space group C2/m (No. 12)
One atom of each set of equivalent atoms:
Ac1 0.192 0.000 0.322 x4
Bi1 0.227 0.000 0.968 x4
S1 0.204 0.500 0.381 x4

Crystal system: monoclinic
Total magnetic moment: 0.0 μB/f.u.
Density: 8.112 g/cm3



It comes down to R, which is 38 meV per atom more stable than the next structure.



P | VASP calculation (GGA-PBE) on a relaxed structure of AcBi2Sb.

Cell: 4.948 4.948 5.275 Å, 90.00 90.00 90.00°
Space group P4/mmm (No. 123)
One atom of each set of equivalent atoms:
Ac1 0.000 0.000 0.000 x1
Bi1 0.000 0.500 0.500 x2
Sb1 0.500 0.500 0.000 x1

Crystal system: tetragonal
Total magnetic moment: 0.0 μB/f.u.
Density: 9.858 g/cm3



Q | VASP calculation (GGA-PBE) on a relaxed structure of AcBi2Sb.

Cell: 5.4968 5.4968 15.8651 Å, 90.00 90.00 120.00°
Space group R-3m (No. 166, hexagonal axes)
One atom of each set of equivalent atoms:
Ac1 0.0000 0.0000 0.0000 x3
Bi1 0.0000 0.0000 0.2221 x6
Sb1 0.0000 0.0000 0.5000 x3

Crystal system: trigonal
Total magnetic moment: 0.0 μB/f.u.
Density: 9.201 g/cm3



It comes down to P, which is 247 meV per atom more stable than the next structure.



P | VASP calculation (GGA-PBE) on a relaxed structure of Ac2BiSb.

Cell: 4.7565 4.7565 24.8886 Å, 90.00 90.00 120.00°
Space group R3m (No. 160, hexagonal axes)
One atom of each set of equivalent atoms:
Ac1 0.0000 0.0000 0.0000 x3
Ac2 0.0000 0.0000 0.1674 x3
Bi1 0.0000 0.0000 0.5846 x3
Sb1 0.0000 0.0000 0.4162 x3

Crystal system: trigonal
Total magnetic moment: 0.0 μB/f.u.
Density: 8.017 g/cm3



Q | VASP calculation (GGA-PBE) on a relaxed structure of Ac2BiSb.

Cell: 4.8395 4.8395 23.7157 Å, 90.00 90.00 120.00°
Space group R-3m (No. 166, hexagonal axes)
One atom of each set of equivalent atoms:
Ac1 0.0000 0.0000 0.2484 x6
Bi1 0.0000 0.0000 0.0000 x3
Sb1 0.0000 0.0000 0.5000 x3

Crystal system: trigonal
Total magnetic moment: 0.0 μB/f.u.
Density: 8.127 g/cm3



R | VASP calculation (GGA-PBE) on a relaxed structure of Ac2BiSb.

Cell: 4.095 4.095 8.449 Å, 90.00 90.00 90.00°
Space group P4/mmm (No. 123)
One atom of each set of equivalent atoms:
Ac1 0.000 0.000 0.238 x2
Bi1 0.500 0.500 0.500 x1
Sb1 0.500 0.500 0.000 x1

Crystal system: tetragonal
Total magnetic moment: 0.0 μB/f.u.
Density: 9.196 g/cm3



S | VASP calculation (GGA-PBE) on a relaxed structure of Ac2BiSb.

Cell: 8.280 8.280 8.280 Å, 90.00 90.00 90.00°
Space group Fm-3m (No. 225)
One atom of each set of equivalent atoms:
Ac1 0.250 0.250 0.250 x8
Bi1 0.000 0.000 0.000 x4
Sb1 0.000 0.000 0.500 x4

Crystal system: cubic
Total magnetic moment: 0.0 μB/f.u.
Density: 9.182 g/cm3



It comes down to Q, which is 117 meV per atom more stable than the next structure.



P | VASP calculation (GGA-PBE) on a relaxed structure of AcSmBiSb.

Cell: 5.5514 5.5514 37.8137 Å, 90.00 90.00 120.00°
Space group R-3m (No. 166, hexagonal axes)
One atom of each set of equivalent atoms:
Ac1 0.0000 0.0000 0.2074 x6
Sm1 0.0000 0.0000 0.3785 x6
Bi1 0.0000 0.0000 0.2962 x6
Sb1 0.0000 0.0000 0.1141 x6

Crystal system: trigonal
Total magnetic moment: 0.0 μB/f.u.
Density: 6.990 g/cm3



Q | VASP calculation (GGA-PBE) on a relaxed structure of AcSmBiSb.

Cell: 8.054 8.054 8.054 Å, 90.00 90.00 90.00°
Space group F-43m (No. 216)
One atom of each set of equivalent atoms:
Ac1 0.000 0.000 0.000 x4
Sm1 0.000 0.000 0.500 x4
Bi1 0.250 0.250 0.750 x4
Sb1 0.250 0.250 0.250 x4

Crystal system: cubic
Total magnetic moment: 0.0 μB/f.u.
Density: 9.002 g/cm3



It comes down to Q, which is 127 meV per atom more stable than the next structure.



P | VASP calculation (GGA-PBE) on a relaxed structure of AcScBi2.

Cell: 4.5952 4.5952 22.2693 Å, 90.00 90.00 120.00°
Space group R-3m (No. 166, hexagonal axes)
One atom of each set of equivalent atoms:
Ac1 0.0000 0.0000 0.0000 x3
Sc1 0.0000 0.0000 0.5000 x3
Bi1 0.0000 0.0000 0.2374 x6

Crystal system: trigonal
Total magnetic moment: 0.0 μB/f.u.
Density: 8.439 g/cm3



Q | VASP calculation (GGA-PBE) on a relaxed structure of AcScBi2.

Cell: 5.972 5.972 3.537 Å, 90.00 90.00 90.00°
Space group P4/mmm (No. 123)
One atom of each set of equivalent atoms:
Ac1 0.000 0.000 0.000 x1
Sc1 0.500 0.500 0.000 x1
Bi1 0.000 0.500 0.500 x2

Crystal system: tetragonal
Total magnetic moment: 0.0 μB/f.u.
Density: 9.080 g/cm3



R | VASP calculation (GGA-PBE) on a relaxed structure of AcScBi2.

Cell: 7.953 7.953 7.953 Å, 90.00 90.00 90.00°
Space group Fm-3m (No. 225)
One atom of each set of equivalent atoms:
Ac1 0.000 0.000 0.000 x4
Sc1 0.000 0.000 0.500 x4
Bi1 0.250 0.250 0.250 x8

Crystal system: cubic
Total magnetic moment: 0.0 μB/f.u.
Density: 9.108 g/cm3



S | VASP calculation (GGA-PBE) on a relaxed structure of AcScBi2.

Cell: 4.5286 4.5286 23.6024 Å, 90.00 90.00 120.00°
Space group R3m (No. 160, hexagonal axes)
One atom of each set of equivalent atoms:
Ac1 0.0000 0.0000 0.0000 x3
Sc1 0.0000 0.0000 0.8298 x3
Bi1 0.0000 0.0000 0.4244 x3
Bi2 0.0000 0.0000 0.5718 x3

Crystal system: trigonal
Total magnetic moment: 0.0 μB/f.u.
Density: 8.199 g/cm3



It comes down to P, which is 122 meV per atom more stable than the next structure.



P | VASP calculation (GGA-PBE) on a relaxed structure of AcBiSe.

Cell: 4.040 4.040 12.366 Å, 90.00 90.00 90.00°
Space group I4mm (No. 107)
One atom of each set of equivalent atoms:
Ac1 0.000 0.000 0.000 x2
Bi1 0.000 0.000 0.299 x2
Se1 0.000 0.000 0.599 x2

Crystal system: tetragonal
Total magnetic moment: 0.0 μB/f.u.
Density: 8.475 g/cm3



Q | VASP calculation (GGA-PBE) on a relaxed structure of AcBiSe.

Cell: 5.2515 5.2515 4.0144 Å, 90.00 90.00 120.00°
Space group P3m1 (No. 156)
One atom of each set of equivalent atoms:
Ac1 0.0000 0.0000 0.0000 x1
Bi1 0.6667 0.3333 0.5016 x1
Se1 0.3333 0.6667 0.5079 x1

Crystal system: trigonal
Total magnetic moment: 0.0 μB/f.u.
Density: 8.918 g/cm3



It comes down to P, which is 209 meV per atom more stable than the next structure.



P | VASP calculation (GGA-PBE) on a relaxed structure of AcBiSe.

Cell: 4.472 4.472 19.392 Å, 90.00 90.00 90.00°
Space group I4/mmm (No. 139)
One atom of each set of equivalent atoms:
Ac1 0.000 0.000 0.152 x4
Bi1 0.000 0.500 0.000 x4
Se1 0.000 0.000 0.315 x4

Crystal system: tetragonal
Total magnetic moment: 0.0 μB/f.u.
Density: 8.820 g/cm3



Q | VASP calculation (GGA-PBE) on a relaxed structure of AcBiSe.

Cell: 5.983 4.629 9.184 Å, 90.00 105.88 90.00°
Space group P2_1/m (No. 11)
One atom of each set of equivalent atoms:
Ac1 0.184 0.250 0.342 x2
Bi1 0.149 0.250 0.957 x2
Se1 0.282 0.750 0.571 x2

Crystal system: monoclinic
Total magnetic moment: 0.0 μB/f.u.
Density: 6.990 g/cm3



It comes down to P, which is 165 meV per atom more stable than the next structure.



P | VASP calculation (GGA-PBE) on a relaxed structure of Ac3BiSe6.

Cell: 11.984 15.008 7.569 Å, 90.00 90.00 90.00°
Space group Cmc2_1 (No. 36)
One atom of each set of equivalent atoms:
Ac1 0.000 0.100 0.000 x4
Ac2 0.186 0.398 0.919 x8
Bi1 0.000 0.326 0.392 x4
Se1 0.000 0.271 0.760 x4
Se2 0.000 0.489 0.163 x4
Se3 0.163 0.024 0.711 x8
Se4 0.165 0.240 0.207 x8

Crystal system: orthorhombic
Total magnetic moment: 0.0 μB/f.u.
Density: 6.653 g/cm3



Q | VASP calculation (GGA-PBE) on a relaxed structure of Ac3BiSe6.

Cell: 12.8982 12.8982 15.1498 Å, 90.00 90.00 120.00°
Space group R-3 (No. 148, hexagonal axes)
One atom of each set of equivalent atoms:
Ac1 0.0484 0.7793 0.2018 x18
Bi1 0.0000 0.0000 0.0000 x3
Bi2 0.0000 0.0000 0.5000 x3
Se1 0.0233 0.8138 0.4013 x18
Se2 0.0320 0.8410 0.8797 x18

Crystal system: trigonal
Total magnetic moment: 0.0 μB/f.u.
Density: 6.225 g/cm3



It comes down to P, which is 15 meV per atom more stable than the next structure.